(1)
The following is a DFT calculation (SCAN) of KLi2MnPd at its PBEsol-relaxed geometry.

As for the crystal system: tetragonal. For the total energy, the calculation gives -11.93 eV/atom. The calculation puts the energy of formation from the pure elements at 897.4 meV/atom.

The space group is P4/mmm (No. 123) and the conventional cell measures 4.8476, 4.8476 and 5.7524 Å, with angles of 90.00, 90.00 and 90.00 degrees. The distinct sites, in fractional coordinates, are K at (0.0000, 0.0000, 0.0000), Li at (0.0000, 0.5000, 0.5000), Mn at (0.0000, 0.0000, 0.5000) and Pd at (0.5000, 0.5000, 0.0000).

=====

(2)
The following is a DFT calculation (SCAN) of KLiY2Mn at its PBEsol-relaxed geometry.

As for the crystal system: tetragonal. For the total energy, the calculation gives -16.38 eV/atom. The calculation puts the energy of formation from the pure elements at 550.5 meV/atom.

The space group is P4/mmm (No. 123) and the conventional cell measures 5.1513, 5.1513 and 6.2003 Å, with angles of 90.00, 90.00 and 90.00 degrees. The distinct sites, in fractional coordinates, are K at (0.0000, 0.0000, 0.0000), Li at (0.5000, 0.5000, 0.0000), Y at (0.0000, 0.5000, 0.5000) and Mn at (0.0000, 0.0000, 0.5000).

=====

Among the records above, which one has the highest energy of formation from the pure elements? KLi2MnPd

=====

energy of formation from the pure elements of number 2 (KLiY2Mn)? 550.5 meV/atom

=====

energy of formation from the pure elements of number 1 (KLi2MnPd)? 897.4 meV/atom